Model 1:
Compound: Sc4BiSe2
Source: Alexandria via LeMat-Bulk
Functional: PBE
Structure: relaxed

## Properties
For the density of states at the Fermi level, the calculation gives 4.59 states/eV/f.u.

a b c (Å): 6.6383 6.6383 12.8222
angles (deg): 90.00 90.00 145.36
Last column: nearest neighbours and their distance in Å.
Sites, in units of the cell vectors:
Sc 0.0000 0.0000 0.0000  4 Se 2.71
Sc 0.0000 0.0000 0.5000  4 Se 2.71
Sc 0.2634 0.7366 0.6226  3 Se 2.63-2.70
Sc 0.2634 0.7366 0.8774  3 Se 2.63-2.70
Sc 0.4278 0.5722 0.2500  2 Se 2.61
Sc 0.5722 0.4278 0.7500  2 Se 2.61
Sc 0.7366 0.2634 0.1226  3 Se 2.63-2.70
Sc 0.7366 0.2634 0.3774  3 Se 2.63-2.70
Bi 0.1035 0.8965 0.2500  6 Sc 2.98-3.07
Bi 0.8965 0.1035 0.7500  6 Sc 2.98-3.07
Se 0.3655 0.6345 0.0563  6 Sc 2.61-2.71
Se 0.3655 0.6345 0.4437  6 Sc 2.61-2.71
Se 0.6345 0.3655 0.5563  6 Sc 2.61-2.71
Se 0.6345 0.3655 0.9437  6 Sc 2.61-2.71

---

Model 2:
Compound: Sc4BiSe2
Source: Alexandria via LeMat-Bulk
Functional: PBE
Structure: relaxed

## Properties
For the density of states at the Fermi level, the calculation gives 6.74 states/eV/f.u.

a b c (Å): 13.0431 13.0431 13.0431
angles (deg): 16.90 16.90 16.90
Last column: nearest neighbours and their distance in Å.
Sites, in units of the cell vectors:
Sc 0.1344 0.1344 0.1344  3 Se 2.74
Sc 0.2812 0.2812 0.2812  3 Se 2.70, 3 Bi 2.99
Sc 0.7188 0.7188 0.7188  3 Se 2.70, 3 Bi 2.99
Sc 0.8656 0.8656 0.8656  3 Se 2.74
Bi 0.0000 0.0000 0.0000  6 Sc 2.99
Se 0.4257 0.4257 0.4257  6 Sc 2.70-2.74
Se 0.5743 0.5743 0.5743  6 Sc 2.70-2.74

---

Quick one: least stable of them? model 2